SrGa2Pd3 | PBE | relaxed

Values from the calculation:
- M_tot: 0.000 μB/atom
- Fermi-level density of states: 0.45 states/eV per atom
- DFT total energy: -4.542 eV/atom

abc: 4.2584 8.1624 7.8678
angles: 114.69 90.00 105.12
Last column: nearest neighbours and their distance in Å.
Atoms (fractional coordinates):
Sr  0.8434  0.6868  0.9200  7 Ga 3.34-3.59, 8 Pd 3.37-3.54
Sr  0.1566  0.3132  0.0800  7 Ga 3.34-3.59, 8 Pd 3.37-3.54
Pd  0.6821  0.3643  0.4378  4 Ga 2.52-2.70, 1 Pd 2.78
Pd  0.0275  0.0550  0.3502  3 Ga 2.49-2.50
Pd  0.6007  0.2014  0.6886  3 Ga 2.51-2.55, 1 Pd 2.78
Pd  0.3993  0.7986  0.3114  3 Ga 2.51-2.55, 1 Pd 2.78
Pd  0.9725  0.9450  0.6498  3 Ga 2.49-2.50
Pd  0.3179  0.6357  0.5622  4 Ga 2.52-2.70, 1 Pd 2.78
Ga  0.5173  0.0346  0.1766  4 Pd 2.50-2.52, 1 Ga 2.59
Ga  0.4827  0.9654  0.8234  4 Pd 2.50-2.52, 1 Ga 2.59
Ga  0.8224  0.6447  0.3559  6 Pd 2.49-2.70
Ga  0.1776  0.3553  0.6441  6 Pd 2.49-2.70